A relaxed YbTlW2O8 crystal. Source: Alexandria, functional GGA+U.

Properties
As for the magnetic moment: 0.91 μB/f.u. The calculation puts the energy at -0.5072 Ry/atom. Its density of states at the Fermi level is 42.4 states/eV/cell. As for the crystal system: monoclinic.

Unit cell a=7.770 b=7.770 c=7.478 alpha=118.13 beta=118.13 gamma=87.60
Element x y z (fractional)
Yb: 0.223 0.777 0.750
Yb: 0.777 0.223 0.250
Tl: 0.220 0.780 0.250
Tl: 0.780 0.220 0.750
W: 0.300 0.310 0.796
W: 0.310 0.300 0.296
W: 0.690 0.700 0.704
W: 0.700 0.690 0.204
O: 0.043 0.249 0.200
O: 0.055 0.346 0.620
O: 0.249 0.043 0.700
O: 0.255 0.376 0.062
O: 0.346 0.055 0.120
O: 0.376 0.255 0.562
O: 0.377 0.599 0.538
O: 0.401 0.623 0.962
O: 0.599 0.377 0.038
O: 0.623 0.401 0.462
O: 0.624 0.745 0.438
O: 0.654 0.945 0.880
O: 0.745 0.624 0.938
O: 0.751 0.957 0.300
O: 0.945 0.654 0.380
O: 0.957 0.751 0.800